VASP calculation (PBE) on a relaxed ReNi3I crystal.

Summary:
Distance to the lowest polymorph of the same formula in eV per formula unit: 0.00
Uncorrected energy in eV per formula unit: -24.5
Formation energy from raw total energies in eV/f.u.: 6.80

a = 4.607 Å, b = 4.607 Å, c = 4.607 Å
α = 90.00°, β = 90.00°, γ = 90.00°
Element x y z (fractional)
1 I 0.500 0.500 0.500
2 Re 0.000 0.000 0.000
3 Ni 0.000 0.500 0.000
4 Ni 0.000 0.000 0.500
5 Ni 0.500 0.000 0.000

---

VASP calculation (PBE) on a relaxed KNiRu3 crystal.

Summary:
Distance to the lowest polymorph of the same formula in eV per formula unit: 7.84
Uncorrected energy in eV per formula unit: -19.1
Calculated formation energy in eV/atom: 3.1179

a = 4.548 Å, b = 4.548 Å, c = 4.548 Å
α = 90.00°, β = 90.00°, γ = 90.00°
Each line ends with the local moment (μB).
Element x y z (fractional)
1 Ru 0.000 0.500 0.000  1.76
2 Ru 0.000 0.000 0.500  1.51
3 Ru 0.500 0.000 0.000  1.62
4 K 0.000 0.000 0.000  0.05
5 Ni 0.500 0.500 0.500  0.97

---

VASP calculation (PBE) on a relaxed PmPrZn crystal.

Summary:
Distance to the lowest polymorph of the same formula in eV per formula unit: 0.68
Uncorrected energy in eV per formula unit: -10.7
Calculated formation energy in eV/atom: 0.0303

a = 5.114 Å, b = 7.180 Å, c = 10.238 Å
α = 90.00°, β = 90.00°, γ = 90.00°
Element x y z (fractional)
1 Pr 0.750 0.004 0.128
2 Pr 0.250 0.504 0.372
3 Pr 0.250 0.996 0.872
4 Pr 0.750 0.496 0.628
5 Zn 0.750 0.753 0.375
6 Zn 0.250 0.253 0.125
7 Zn 0.250 0.247 0.625
8 Zn 0.750 0.747 0.875
9 Pm 0.750 0.504 0.123
10 Pm 0.250 0.004 0.377
11 Pm 0.250 0.496 0.877
12 Pm 0.750 0.996 0.623

---

VASP calculation (PBE) on a relaxed Pr3HoHg3 crystal.

Summary:
Uncorrected energy in eV per formula unit: -21.7
Calculated formation energy in eV/atom: -0.2750

a = 7.464 Å, b = 7.464 Å, c = 8.142 Å
α = 94.92°, β = 94.92°, γ = 106.17°
Element x y z (fractional)
1 Pr 0.647 0.647 0.382
2 Pr 0.172 0.828 0.500
3 Pr 0.828 0.172 0.500
4 Pr 0.244 0.756 0.000
5 Pr 0.756 0.244 0.000
6 Pr 0.353 0.353 0.618
7 Ho 0.702 0.702 0.956
8 Ho 0.298 0.298 0.044
9 Hg 0.998 0.998 0.201
10 Hg 0.900 0.544 0.710
11 Hg 0.544 0.900 0.710
12 Hg 0.100 0.456 0.290
13 Hg 0.456 0.100 0.290
14 Hg 0.002 0.002 0.799

---

VASP calculation (PBE) on a relaxed CsBaAgI4 crystal.

Summary:
Uncorrected energy in eV per formula unit: -20.8
Formation energy from raw total energies in eV/f.u.: -9.00

a = 7.923 Å, b = 8.349 Å, c = 10.637 Å
α = 90.00°, β = 109.47°, γ = 90.00°
Element x y z (fractional)
1 Cs 0.767 0.750 0.946
2 Cs 0.233 0.250 0.054
3 Ba 0.766 0.750 0.443
4 Ba 0.234 0.250 0.557
5 Ag 0.225 0.750 0.318
6 Ag 0.775 0.250 0.682
7 I 0.024 0.511 0.721
8 I 0.976 0.011 0.279
9 I 0.976 0.489 0.279
10 I 0.024 0.989 0.721
11 I 0.414 0.750 0.136
12 I 0.586 0.250 0.864
13 I 0.441 0.750 0.592
14 I 0.559 0.250 0.408

---

VASP calculation (PBE) on a relaxed HfV2Os2 crystal.

Summary:
Distance to the lowest polymorph of the same formula in eV per formula unit: 0.12
Uncorrected energy in eV per formula unit: -51.2
Calculated formation energy in eV/atom: -0.1081

a = 7.402 Å, b = 7.402 Å, c = 2.831 Å
α = 90.00°, β = 90.00°, γ = 90.00°
Element x y z (fractional)
1 Os 0.154 0.654 0.500
2 Os 0.654 0.846 0.500
3 Os 0.846 0.346 0.500
4 Os 0.346 0.154 0.500
5 Hf 0.000 0.000 0.000
6 Hf 0.500 0.500 0.000
7 V 0.357 0.857 0.000
8 V 0.857 0.643 0.000
9 V 0.643 0.143 0.000
10 V 0.143 0.357 0.000

---

VASP calculation (PBE) on a relaxed V2FePt8 crystal.

Summary:
Uncorrected energy in eV per formula unit: -79.2
Calculated formation energy in eV/atom: -0.3798

a = 3.916 Å, b = 6.230 Å, c = 7.292 Å
α = 105.49°, β = 105.58°, γ = 90.00°
Each line ends with the local moment (μB).
Element x y z (fractional)
1 V 0.222 0.651 0.444  -0.26
2 V 0.778 0.349 0.556  -0.26
3 Fe 0.500 0.000 0.000  3.16
4 Pt 0.601 0.456 0.202  0.04
5 Pt 0.319 0.085 0.638  0.10
6 Pt 0.144 0.200 0.288  0.07
7 Pt 0.045 0.732 0.090  0.14
8 Pt 0.856 0.800 0.712  0.07
9 Pt 0.681 0.915 0.362  0.10
10 Pt 0.399 0.544 0.798  0.04
11 Pt 0.955 0.268 0.910  0.14

---

VASP calculation (PBE) on a relaxed TlP2S2 crystal.

Summary:
Distance to the lowest polymorph of the same formula in eV per formula unit: 6.14
Uncorrected energy in eV per formula unit: -13.3
Formation energy from raw total energies in eV/f.u.: 8.12

a = 5.222 Å, b = 5.222 Å, c = 4.997 Å
α = 90.00°, β = 90.00°, γ = 90.00°
Each line ends with the local moment (μB).
Element x y z (fractional)
1 P 0.000 0.500 0.000  0.31
2 P 0.500 0.000 0.000  0.31
3 Tl 0.000 0.000 0.000  -0.01
4 S 0.500 0.500 0.500  -0.51
5 S 0.000 0.000 0.500  -0.20

---

VASP calculation (PBE) on a relaxed Mg2Ga2Cu5Ni crystal.

Summary:
Uncorrected energy in eV per formula unit: -35.8
Calculated formation energy in eV/atom: -0.0343

a = 3.429 Å, b = 9.218 Å, c = 9.218 Å
α = 90.00°, β = 90.00°, γ = 90.00°
Element x y z (fractional)
1 Mg 0.000 0.670 0.170
2 Mg 0.000 0.330 0.830
3 Mg 0.000 0.170 0.330
4 Mg 0.000 0.830 0.670
5 Ga 0.000 0.132 0.632
6 Ga 0.000 0.868 0.368
7 Ga 0.000 0.632 0.868
8 Ga 0.000 0.368 0.132
9 Cu 0.500 0.190 0.052
10 Cu 0.500 0.810 0.948
11 Cu 0.500 0.052 0.810
12 Cu 0.500 0.690 0.448
13 Cu 0.500 0.948 0.190
14 Cu 0.500 0.310 0.552
15 Cu 0.500 0.552 0.690
16 Cu 0.500 0.448 0.310
17 Cu 0.500 0.500 0.000
18 Cu 0.500 0.000 0.500
19 Ni 0.000 0.000 0.000
20 Ni 0.000 0.500 0.500

---

VASP calculation (PBE) on a relaxed Na4Ce3IrS8 crystal.

Summary:
Uncorrected energy in eV per formula unit: -87.0
Formation energy from raw total energies in eV/f.u.: -22.07

a = 7.788 Å, b = 8.099 Å, c = 8.017 Å
α = 118.60°, β = 119.06°, γ = 90.00°
Each line ends with the local moment (μB).
Element x y z (fractional)
1 Na 0.500 0.000 0.000  0.00
2 Na 0.500 0.000 0.500  0.00
3 Na 0.000 0.000 0.000  0.00
4 Na 0.000 0.000 0.500  0.00
5 Ce 0.500 0.500 0.000  0.59
6 Ce 0.500 0.500 0.500  0.56
7 Ce 0.000 0.500 0.500  0.56
8 Ir 0.000 0.500 0.000  -0.48
9 S 0.210 0.706 0.982  -0.02
10 S 0.271 0.757 0.542  -0.06
11 S 0.260 0.265 0.521  -0.02
12 S 0.772 0.706 0.982  -0.02
13 S 0.228 0.294 0.018  -0.02
14 S 0.740 0.735 0.479  -0.02
15 S 0.729 0.243 0.458  -0.06
16 S 0.790 0.294 0.018  -0.02

---

VASP calculation (PBE) on a relaxed PaPN2 crystal.

Summary:
Uncorrected energy in eV per formula unit: -31.1
Formation energy from raw total energies in eV/f.u.: 0.50

a = 2.858 Å, b = 2.858 Å, c = 7.025 Å
α = 78.26°, β = 78.26°, γ = 60.00°
Element x y z (fractional)
1 P 0.500 0.500 0.500
2 Pa 0.000 0.000 0.000
3 N 0.121 0.121 0.638
4 N 0.879 0.879 0.362

---

VASP calculation (PBE) on a relaxed LuMgScTi crystal.

Summary:
Uncorrected energy in eV per formula unit: -19.7
Calculated formation energy in eV/atom: 0.1507

a = 5.084 Å, b = 5.084 Å, c = 5.084 Å
α = 60.00°, β = 60.00°, γ = 60.00°
Each line ends with the local moment (μB).
Element x y z (fractional)
1 Sc 0.250 0.250 0.250  0.28
2 Mg 0.500 0.500 0.500  -0.01
3 Lu 0.750 0.750 0.750  0.19
4 Ti 0.000 0.000 0.000  1.30

---

VASP calculation (PBE) on a relaxed Al5Ge3Te12 crystal.

Summary:
Uncorrected energy in eV per formula unit: -72.3
Formation energy from raw total energies in eV/f.u.: -2.01

a = 14.693 Å, b = 14.693 Å, c = 14.693 Å
α = 109.47°, β = 109.47°, γ = 109.47°
Element x y z (fractional)
1 Ge 0.750 0.375 0.125
2 Ge 0.875 0.750 0.125
3 Ge 0.375 0.750 0.625
4 Ge 0.250 0.125 0.375
5 Ge 0.875 0.125 0.250
6 Ge 0.375 0.625 0.250
7 Ge 0.625 0.375 0.750
8 Ge 0.125 0.875 0.750
9 Ge 0.750 0.875 0.625
10 Ge 0.625 0.250 0.375
11 Ge 0.125 0.250 0.875
12 Ge 0.250 0.625 0.875
13 Al 0.125 0.375 0.250
14 Al 0.000 0.500 0.000
15 Al 0.000 0.000 0.000
16 Al 0.375 0.250 0.125
17 Al 0.500 0.000 0.500
18 Al 0.500 0.500 0.000
19 Al 0.125 0.750 0.375
20 Al 0.750 0.125 0.875
21 Al 0.750 0.625 0.375
22 Al 0.375 0.125 0.750
23 Al 0.625 0.875 0.250
24 Al 0.500 0.500 0.500
25 Al 0.500 0.000 0.000
26 Al 0.000 0.000 0.500
27 Al 0.250 0.375 0.625
28 Al 0.250 0.875 0.125
29 Al 0.000 0.500 0.500
30 Al 0.875 0.250 0.625
31 Al 0.625 0.750 0.875
32 Al 0.875 0.625 0.750
33 Te 0.714 0.122 0.038
34 Te 0.324 0.538 0.416
35 Te 0.962 0.378 0.286
36 Te 0.538 0.214 0.122
37 Te 0.592 0.714 0.676
38 Te 0.962 0.584 0.176
39 Te 0.324 0.786 0.408
40 Te 0.084 0.908 0.122
41 Te 0.584 0.962 0.676
42 Te 0.714 0.592 0.176
43 Te 0.786 0.462 0.378
44 Te 0.824 0.916 0.038
45 Te 0.122 0.714 0.538
46 Te 0.378 0.416 0.092
47 Te 0.092 0.916 0.378
48 Te 0.408 0.122 0.584
49 Te 0.092 0.176 0.214
50 Te 0.462 0.676 0.084
51 Te 0.824 0.908 0.286
52 Te 0.122 0.408 0.084
53 Te 0.378 0.962 0.786
54 Te 0.584 0.622 0.408
55 Te 0.916 0.824 0.538
56 Te 0.786 0.324 0.908
57 Te 0.416 0.378 0.592
58 Te 0.084 0.176 0.462
59 Te 0.214 0.676 0.092
60 Te 0.176 0.092 0.714
61 Te 0.622 0.038 0.214
62 Te 0.878 0.592 0.916
63 Te 0.538 0.324 0.916
64 Te 0.592 0.878 0.416
65 Te 0.908 0.824 0.786
66 Te 0.908 0.084 0.622
67 Te 0.878 0.286 0.462
68 Te 0.176 0.084 0.962
69 Te 0.622 0.584 0.908
70 Te 0.416 0.038 0.324
71 Te 0.286 0.408 0.824
72 Te 0.214 0.538 0.622
73 Te 0.916 0.092 0.878
74 Te 0.676 0.214 0.592
75 Te 0.462 0.786 0.878
76 Te 0.038 0.416 0.824
77 Te 0.408 0.286 0.324
78 Te 0.038 0.622 0.714
79 Te 0.676 0.462 0.584
80 Te 0.286 0.878 0.962

---

VASP calculation (PBE) on a relaxed PbW2Br crystal.

Summary:
Distance to the lowest polymorph of the same formula in eV per formula unit: 4.28
Uncorrected energy in eV per formula unit: -25.6
Formation energy from raw total energies in eV/f.u.: 5.71

a = 4.825 Å, b = 4.825 Å, c = 4.825 Å
α = 60.00°, β = 60.00°, γ = 60.00°
Element x y z (fractional)
1 Pb 0.750 0.750 0.750
2 Br 0.500 0.500 0.500
3 W 0.000 0.000 0.000
4 W 0.250 0.250 0.250

---

VASP calculation (PBE) on a relaxed Nd3SmPt crystal.

Summary:
Distance to the lowest polymorph of the same formula in eV per formula unit: 1.20
Uncorrected energy in eV per formula unit: -26.2
Calculated formation energy in eV/atom: -0.2372

a = 5.671 Å, b = 5.671 Å, c = 5.671 Å
α = 90.00°, β = 90.00°, γ = 90.00°
Each line ends with the local moment (μB).
Element x y z (fractional)
1 Nd 0.000 0.500 0.000  0.08
2 Nd 0.000 0.000 0.500  0.08
3 Nd 0.500 0.000 0.000  0.08
4 Sm 0.500 0.500 0.500  0.23
5 Pt 0.000 0.000 0.000  0.04

---

VASP calculation (PBE) on a relaxed Cs2RbSe crystal.

Summary:
Distance to the lowest polymorph of the same formula in eV per formula unit: 0.33
Uncorrected energy in eV per formula unit: -8.7
Formation energy from raw total energies in eV/f.u.: -2.53

a = 4.518 Å, b = 4.518 Å, c = 12.335 Å
α = 90.00°, β = 90.00°, γ = 90.00°
Element x y z (fractional)
1 Cs 0.000 0.000 0.854
2 Cs 0.000 0.000 0.146
3 Se 0.500 0.500 0.000
4 Rb 0.500 0.500 0.500

---

VASP calculation (PBE) on a relaxed SrAc3N4 crystal.

Summary:
Uncorrected energy in eV per formula unit: -54.4
Formation energy from raw total energies in eV/f.u.: -7.09

a = 5.456 Å, b = 5.456 Å, c = 5.456 Å
α = 90.00°, β = 90.00°, γ = 90.00°
Each line ends with the local moment (μB).
Element x y z (fractional)
1 Sr 0.000 0.000 0.000  0.00
2 Ac 0.000 0.500 0.500  0.01
3 Ac 0.500 0.000 0.500  0.01
4 Ac 0.500 0.500 0.000  0.01
5 N 0.500 0.000 0.000  0.06
6 N 0.000 0.500 0.000  0.06
7 N 0.000 0.000 0.500  0.06
8 N 0.500 0.500 0.500  0.00

---

VASP calculation (PBE) on a relaxed Hf2SiN crystal.

Summary:
Distance to the lowest polymorph of the same formula in eV per formula unit: 0.00
Uncorrected energy in eV per formula unit: -37.7
Formation energy from raw total energies in eV/f.u.: -4.08

a = 3.236 Å, b = 3.236 Å, c = 6.936 Å
α = 76.51°, β = 76.51°, γ = 60.00°
Element x y z (fractional)
1 Si 0.000 0.000 0.000
2 Hf 0.229 0.229 0.314
3 Hf 0.771 0.771 0.686
4 N 0.500 0.500 0.500

---

VASP calculation (PBE) on a relaxed PrDyHoCd crystal.

Summary:
Distance to the lowest polymorph of the same formula in eV per formula unit: 0.00
Uncorrected energy in eV per formula unit: -15.5
Calculated formation energy in eV/atom: -0.1503

a = 3.645 Å, b = 3.645 Å, c = 9.009 Å
α = 90.00°, β = 90.00°, γ = 90.00°
Element x y z (fractional)
1 Pr 0.000 0.000 0.072
2 Dy 0.500 0.500 0.791
3 Ho 0.500 0.500 0.352
4 Cd 0.000 0.000 0.570

---

VASP calculation (PBE) on a relaxed BaCN2 crystal.

Summary:
Uncorrected energy in eV per formula unit: -31.0
Formation energy from raw total energies in eV/f.u.: -3.19

a = 4.335 Å, b = 4.335 Å, c = 5.741 Å
α = 67.82°, β = 67.82°, γ = 60.00°
Element x y z (fractional)
1 C 0.500 0.500 0.500
2 Ba 0.000 0.000 0.000
3 N 0.420 0.420 0.740
4 N 0.580 0.580 0.260